(1)
This record from OQMD via LeMat-Bulk describes LaLuCu2Si2 after structural relaxation. The functional is PBE-GGA.

extended XYZ file:
```
6
Lattice="-3.1423 0.1104 -2.7514 -0.7976 -0.5809 4.0599 -0.5849 7.6042 0.9731" Properties=species:S:1:pos:R:3 pbc="T T T"
Si -2.5179 1.9230 -0.2195
Cu -1.7445 1.7993 2.0646
Lu -0.2924 3.8021 0.4865
Cu -2.7803 5.3344 0.2170
La 0.0000 0.0000 0.0000
Si -2.0069 5.2107 2.5011
```

Results
For the calculated density, the calculation gives 7.1 Mg/m³. Its final energy is -5.273 eV/atom. The space-group type is No. 164.


(2)
This record from OQMD via LeMat-Bulk describes KFe3N5 after structural relaxation. The functional is PBE-GGA.

extended XYZ file:
```
9
Lattice="-3.0530 1.3354 3.3778 -1.1795 -3.4523 -3.0337 2.2787 -3.9663 3.6277" Properties=species:S:1:pos:R:3 pbc="T T T"
N -1.7899 -1.3719 2.2571
K 0.0000 0.0000 0.0000
Fe -0.3872 -1.3154 3.5027
Fe 0.5496 -3.7093 0.2970
N -1.1654 -2.9678 0.1200
Fe -0.9769 -3.0416 1.9858
N -0.1639 -4.7113 1.7145
N -0.7883 -3.1154 3.8517
N 1.1393 -1.9832 1.8138
```

Results
For the calculated density, the calculation gives 4.0 Mg/m³. Its final energy is -6.809 eV/atom. The space-group type is No. 191.


(3)
This record from OQMD via LeMat-Bulk describes SrFeBi after structural relaxation. The functional is PBE-GGA.

extended XYZ file:
```
3
Lattice="0.0000 3.7180 3.7180 3.7180 0.0000 3.7180 3.7180 3.7180 0.0000" Properties=species:S:1:pos:R:3 pbc="T T T"
Bi 1.8590 1.8590 1.8590
Sr 0.0000 0.0000 0.0000
Fe 5.5769 5.5769 5.5769
```

Results
For the calculated density, the calculation gives 5.7 Mg/m³. Its final energy is -3.925 eV/atom. The space-group type is No. 216.


(4)
This record from OQMD via LeMat-Bulk describes Er2LuGa3AgPt2 after structural relaxation. The functional is PBE-GGA.

extended XYZ file:
```
9
Lattice="3.6548 0.0000 0.0000 0.0000 6.4743 3.7488 0.0000 -6.4743 3.7488" Properties=species:S:1:pos:R:3 pbc="T T T"
Ag 0.0000 0.0000 0.0129
Pt 1.8274 -2.1374 3.7429
Pt 1.8274 2.1374 3.7429
Er 0.0000 -2.6322 5.9716
Er 0.0000 2.6322 5.9716
Lu 0.0000 0.0000 3.0486
Ga 1.8274 1.7661 1.0263
Ga 1.8274 -1.7661 1.0263
Ga 1.8274 0.0000 5.4477
```

Results
For the calculated density, the calculation gives 11.4 Mg/m³. Its final energy is -5.086 eV/atom. The space-group type is No. 38.


(5)
This record from OQMD via LeMat-Bulk describes Tl2PdPbBr6 after structural relaxation. The functional is PBE-GGA.

extended XYZ file:
```
10
Lattice="0.0000 5.5137 5.5137 5.5137 0.0000 5.5137 5.5137 5.5137 0.0000" Properties=species:S:1:pos:R:3 pbc="T T T"
Pd 0.0000 0.0000 0.0000
Br 5.5137 5.5137 8.4061
Br 5.5137 2.6214 5.5137
Br 5.5137 5.5137 2.6214
Pb 5.5137 5.5137 5.5137
Br 8.4061 5.5137 5.5137
Tl 2.7569 2.7569 2.7569
Br 2.6214 5.5137 5.5137
Tl 8.2706 8.2706 8.2706
Br 5.5137 8.4061 5.5137
```

Results
For the calculated density, the calculation gives 6.0 Mg/m³. Its final energy is -2.982 eV/atom. The space-group type is No. 225.


(6)
This record from OQMD via LeMat-Bulk describes Cs2ReAgSe4 after structural relaxation. The functional is PBE-GGA.

extended XYZ file:
```
16
Lattice="0.0000 7.2997 12.6652 3.1256 0.0000 12.6652 3.1256 7.2997 0.0000" Properties=species:S:1:pos:R:3 pbc="T T T"
Se 2.8918 5.0585 7.7258
Re 1.5628 3.6499 6.3326
Cs 3.1256 7.2997 4.5658
Re 0.0000 0.0000 0.0000
Ag 3.1256 7.2997 12.6652
Se 3.3594 9.5410 7.7258
Cs 1.5628 3.6499 10.8984
Se 2.8918 9.5410 17.6045
Ag 4.6884 10.9496 18.9977
Se 3.3594 5.0585 17.6045
Cs 1.5628 3.6499 1.7668
Se 4.9222 5.8911 11.2720
Se 1.3290 5.8911 14.0584
Se 4.9222 8.7083 14.0584
Se 1.3290 8.7083 11.2720
Cs 3.1256 7.2997 20.7646
```

Results
For the calculated density, the calculation gives 5.0 Mg/m³. Its final energy is -4.436 eV/atom. The space-group type is No. 70.


(7)
This record from OQMD via LeMat-Bulk describes ZrAlNi after structural relaxation. The functional is PBE-GGA.

extended XYZ file:
```
9
Lattice="7.7336 0.0000 0.0000 -3.8668 6.6975 0.0000 0.0000 0.0000 2.8319" Properties=species:S:1:pos:R:3 pbc="T T T"
Ni 4.9067 0.0000 1.4160
Ni 1.4135 2.4482 1.4160
Al 0.0000 4.4650 0.0000
Zr 2.7157 4.7037 0.0000
Zr -1.1511 1.9938 0.0000
Ni -2.4533 4.2493 1.4160
Zr 2.3023 0.0000 0.0000
Al 3.8668 2.2325 0.0000
Al 0.0000 0.0000 1.4160
```

Results
For the calculated density, the calculation gives 6.0 Mg/m³. Its final energy is -6.110 eV/atom. The space-group type is No. 189.


(8)
This record from OQMD via LeMat-Bulk describes SrHgTeO after structural relaxation. The functional is PBE-GGA.

extended XYZ file:
```
8
Lattice="-0.9006 6.1950 -3.0898 -4.5501 4.3843 -2.9682 -1.3596 3.1976 6.8073" Properties=species:S:1:pos:R:3 pbc="T T T"
Sr -6.2438 12.5066 -1.1644
Sr -0.4149 0.9139 1.1548
Hg -4.4665 8.9594 -0.6407
Te -2.4776 5.0412 0.7066
O -6.2332 12.6442 1.2028
Hg -1.7177 3.3450 -1.7449
Te -4.7840 9.7972 2.3024
O -1.1955 2.5871 2.6426
```

Results
For the calculated density, the calculation gives 6.9 Mg/m³. For the energy above the most stable polymorph in this dataset, the calculation gives 247 meV per atom. Its final energy is -3.567 eV/atom. The space-group type is No. 36.


(9)
This record from OQMD via LeMat-Bulk describes ScFeCuAs after structural relaxation. The functional is PBE-GGA.

extended XYZ file:
```
4
Lattice="0.0000 3.0919 3.0919 3.0919 0.0000 3.0919 3.0919 3.0919 0.0000" Properties=species:S:1:pos:R:3 pbc="T T T"
Sc 1.5460 1.5460 1.5460
Cu 3.0919 3.0919 3.0919
Fe 4.6378 4.6378 4.6378
As 0.0000 0.0000 0.0000
```

Results
For the calculated density, the calculation gives 6.7 Mg/m³. For the energy above the most stable polymorph in this dataset, the calculation gives 0 meV per atom. Its final energy is -5.980 eV/atom. The space-group type is No. 216.


(10)
This record from OQMD via LeMat-Bulk describes LaPrIr after structural relaxation. The functional is PBE-GGA.

extended XYZ file:
```
3
Lattice="-4.7998 -0.4327 -0.6503 -2.9595 3.6585 1.2268 -2.2281 2.5901 -3.4606" Properties=species:S:1:pos:R:3 pbc="T T T"
Ir -2.4969 1.4540 -0.7210
Pr 0.0000 0.0000 0.0000
La -7.4906 4.3619 -2.1631
```

Results
For the calculated density, the calculation gives 9.6 Mg/m³. For the energy above the most stable polymorph in this dataset, the calculation gives 0 meV per atom. Its final energy is -6.091 eV/atom. The formation energy is 0.0931 eV per atom. The space-group type is No. 216.


(11)
This record from OQMD via LeMat-Bulk describes Ba4ZnCd after structural relaxation. The functional is PBE-GGA.

extended XYZ file:
```
6
Lattice="4.2441 0.0000 0.0000 0.0000 4.2441 0.0000 0.0000 0.0000 15.1019" Properties=species:S:1:pos:R:3 pbc="T T T"
Ba 2.1220 2.1220 2.0315
Ba 0.0000 0.0000 9.4654
Zn 2.1220 2.1220 7.5509
Ba 0.0000 0.0000 5.6365
Cd 0.0000 0.0000 0.0000
Ba 2.1220 2.1220 13.0704
```

Results
For the calculated density, the calculation gives 4.4 Mg/m³. Its final energy is -1.829 eV/atom. The space-group type is No. 123.


(12)
This record from OQMD via LeMat-Bulk describes Rb2NiAuBr6 after structural relaxation. The functional is PBE-GGA.

extended XYZ file:
```
10
Lattice="-4.8210 -4.2390 -3.7501 -0.6111 -7.2345 1.6008 -2.4914 5.0912 4.8103" Properties=species:S:1:pos:R:3 pbc="T T T"
Rb -4.6959 -7.3304 -0.4090
Au -3.9617 -3.1912 1.3305
Br -2.2046 -5.3019 1.4719
Br -5.7189 -1.0804 1.1892
Rb -3.2276 0.9480 3.0701
Br -1.8915 -1.5184 0.6382
Br -4.4076 -3.7344 -1.3282
Br -6.0320 -4.8640 2.0229
Br -3.5159 -2.6480 3.9893
Ni 0.0000 0.0000 0.0000
```

Results
For the calculated density, the calculation gives 5.2 Mg/m³. For the energy above the most stable polymorph in this dataset, the calculation gives 7 meV per atom. Its final energy is -2.905 eV/atom. The space-group type is No. 12.


Question: Which of these has the highest calculated density?
Answer: Er2LuGa3AgPt2